NdScGa5Pt2: relaxed, GGA-PBE.

Properties
Formation enthalpy at 0 K in eV per atom: -0.3718

POSCAR file:
```
NdScGa5Pt2
1.0
4.6020 0.0000 0.0000
0.0000 4.6020 0.0000
0.0000 0.0000 9.5734
Nd Sc Ga Pt
1 1 5 2
Direct
0.0000 0.0000 0.5000
0.0000 0.0000 0.0000
0.0000 0.5000 0.1719
0.5000 0.0000 0.1719
0.0000 0.5000 0.8281
0.5000 0.0000 0.8281
0.5000 0.5000 0.5000
0.5000 0.5000 0.2596
0.5000 0.5000 0.7404
```